DFT (PBE-GGA) results for a relaxed structure of Er2AlGa12.

Output
Calculated formation energy ... -5.40 kcal/mol of atoms
Total magnetic moment ... 0.00 μB/f.u.

a b c (Å): 5.863 5.863 16.951
angles (deg): 90.00 90.00 90.00
Positions (direct):
Er 0.250 0.750 0.226
Er 0.250 0.750 0.774
Er 0.750 0.250 0.226
Er 0.750 0.250 0.774
Al 0.250 0.750 0.500
Al 0.750 0.250 0.500
Ga 0.002 0.502 0.395
Ga 0.002 0.998 0.605
Ga 0.075 0.575 0.934
Ga 0.075 0.925 0.066
Ga 0.250 0.250 0.153
Ga 0.250 0.250 0.298
Ga 0.250 0.250 0.702
Ga 0.250 0.250 0.847
Ga 0.425 0.575 0.066
Ga 0.425 0.925 0.934
Ga 0.498 0.502 0.605
Ga 0.498 0.998 0.395
Ga 0.502 0.002 0.605
Ga 0.502 0.498 0.395
Ga 0.575 0.075 0.066
Ga 0.575 0.425 0.934
Ga 0.750 0.750 0.153
Ga 0.750 0.750 0.298
Ga 0.750 0.750 0.702
Ga 0.750 0.750 0.847
Ga 0.925 0.075 0.934
Ga 0.925 0.425 0.066
Ga 0.998 0.002 0.395
Ga 0.998 0.498 0.605


DFT (PBE-GGA) results for a relaxed structure of Ba3ZnC2N6.

Output
Energy ... -0.4758 Ry/atom
Total magnetic moment ... 1.38 μB/f.u.

a b c (Å): 5.701 5.701 6.992
angles (deg): 90.00 90.00 120.00
Positions (direct):
Ba 0.000 0.000 0.000
Ba 0.333 0.667 0.677
Ba 0.667 0.333 0.323
Zn 0.000 0.000 0.500
C 0.333 0.667 0.286
C 0.667 0.333 0.714
N 0.195 0.390 0.288
N 0.195 0.805 0.288
N 0.390 0.195 0.712
N 0.610 0.805 0.288
N 0.805 0.195 0.712
N 0.805 0.610 0.712


DFT (PBE-GGA) results for a relaxed structure of ScSiPb2.

Output
Energy ... -0.3462 Ry/atom
Total magnetic moment ... 0.00 μB/f.u.

a b c (Å): 3.940 3.940 6.200
angles (deg): 90.00 90.00 90.00
Positions (direct):
Sc 0.000 0.000 0.000
Si 0.000 0.000 0.500
Pb 0.500 0.500 0.255
Pb 0.500 0.500 0.745


DFT (PBE-GGA) results for a relaxed structure of Tm4ScAl.

Output
Calculated formation energy ... 1.96 kcal/mol of atoms
Total magnetic moment ... 0.00 μB/f.u.

a b c (Å): 5.526 5.526 10.467
angles (deg): 114.69 114.69 35.92
Positions (direct):
Tm 0.144 0.144 0.353
Tm 0.339 0.339 0.163
Tm 0.661 0.661 0.837
Tm 0.856 0.856 0.647
Sc 0.000 0.000 0.000
Al 0.500 0.500 0.500


DFT (PBE-GGA) results for a relaxed structure of La2TcC.

Output
Calculated formation energy ... 17.71 kcal/mol of atoms
Total magnetic moment ... 1.61 μB/f.u.

a b c (Å): 6.211 6.211 6.211
angles (deg): 109.03 109.03 110.35
Positions (direct):
La 0.083 0.625 0.958
La 0.375 0.333 0.458
La 0.667 0.125 0.042
La 0.875 0.917 0.542
Tc 0.250 0.750 0.500
Tc 0.500 0.500 0.000
C 0.000 0.000 0.000
C 0.750 0.250 0.500


DFT (PBE-GGA) results for a relaxed structure of CoMo2Cl.

Output
Energy ... -0.5421 Ry/atom
Total magnetic moment ... 0.00 μB/f.u.

a b c (Å): 3.148 3.044 6.912
angles (deg): 90.00 92.73 90.00
Positions (direct):
Co 0.000 0.000 0.000
Mo 0.528 0.500 0.179
Mo 0.977 0.000 0.406
Cl 0.971 0.500 0.704